# 1
A PBEsol-optimized structure of ReAg3P. Source: the Alexandria database, functional SCAN.

space group: Pm-3m (221)
ΔH_f (0 K): 6.974 eV/f.u.

a = 4.5552 Å, b = 4.5552 Å, c = 4.5552 Å
α = 90.00°, β = 90.00°, γ = 90.00°
Closest atoms and distances in Å follow each position.
Positions (direct):
1 Re 0.0000 0.0000 0.0000  12 Ag 3.22
2 Ag 0.0000 0.5000 0.5000  2 P 2.28
3 Ag 0.5000 0.0000 0.5000  2 P 2.28
4 Ag 0.5000 0.5000 0.0000  2 P 2.28
5 P 0.5000 0.5000 0.5000  6 Ag 2.28

---

# 2
A PBEsol-optimized structure of Mg4Tl5. Source: the Alexandria database, functional SCAN.

space group: I4/mmm (139)
ΔH_f (0 K): -0.210 eV/f.u.

a = 7.2605 Å, b = 7.2605 Å, c = 7.2605 Å
α = 96.19°, β = 96.19°, γ = 141.64°
Closest atoms and distances in Å follow each position.
Positions (direct):
1 Mg 0.0000 0.3346 0.3346  7 Tl 3.20-3.31, 5 Mg 3.21-3.29
2 Mg 0.0000 0.6654 0.6654  7 Tl 3.20-3.31, 5 Mg 3.21-3.29
3 Mg 0.3346 0.0000 0.3346  7 Tl 3.20-3.31, 5 Mg 3.21-3.29
4 Mg 0.6654 0.0000 0.6654  7 Tl 3.20-3.31, 5 Mg 3.21-3.29
5 Tl 0.0000 0.0000 0.0000  4 Mg 3.24, 8 Tl 3.34
6 Tl 0.3294 0.3294 0.6589  6 Mg 3.20-3.31, 6 Tl 3.23-3.34
7 Tl 0.3294 0.6706 0.0000  6 Mg 3.20-3.31, 6 Tl 3.23-3.34
8 Tl 0.6706 0.3294 0.0000  6 Mg 3.20-3.31, 6 Tl 3.23-3.34
9 Tl 0.6706 0.6706 0.3411  6 Mg 3.20-3.31, 6 Tl 3.23-3.34

---

# 3
A PBEsol-optimized structure of CsBaAs2Br. Source: the Alexandria database, functional SCAN.

space group: P4/mmm (123)
ΔE_f (raw): 0.017 eV per atom

a = 5.5466 Å, b = 5.5466 Å, c = 6.2769 Å
α = 90.00°, β = 90.00°, γ = 90.00°
Closest atoms and distances in Å follow each position.
Positions (direct):
1 Cs 0.0000 0.0000 0.0000  4 As 2.77
2 Ba 0.5000 0.5000 0.5000  4 Br 3.92, 8 As 4.19
3 As 0.0000 0.5000 0.0000  2 Cs 2.77
4 As 0.5000 0.0000 0.0000  2 Cs 2.77
5 Br 0.0000 0.0000 0.5000  2 Cs 3.14

---

# 4
A PBEsol-optimized structure of Cr4TcAu. Source: the Alexandria database, functional SCAN.

space group: F-43m (216)
ΔH_f (0 K): 0.561 eV/f.u.

a = 4.7257 Å, b = 4.7257 Å, c = 4.7257 Å
α = 60.00°, β = 60.00°, γ = 60.00°
Closest atoms and distances in Å follow each position.
Positions (direct):
1 Cr 0.1236 0.1236 0.1236  6 Cr 2.34-2.39
2 Cr 0.1236 0.1236 0.6294  6 Cr 2.34-2.39
3 Cr 0.1236 0.6294 0.1236  6 Cr 2.34-2.39
4 Cr 0.6294 0.1236 0.1236  6 Cr 2.34-2.39
5 Tc 0.5000 0.5000 0.5000  12 Cr 2.77, 4 Au 2.89
6 Au 0.7500 0.7500 0.7500  12 Cr 2.77, 4 Tc 2.89

---

no.,density of states at the Fermi level (states/eV per cell),magnetization (μB per formula unit)
1,2.42,4.0
2,3.35,0.0
3,6.06,0.0
4,1.87,0.0